Cd9Ga2Sn after structural relaxation, computed with PBE-GGA.

Summary:
Electronic total energy   -17.7 eV/cell
Total moment   0.000 μB per formula unit
Formation enthalpy at 0 K   0.049 eV per atom

abc: 4.515 4.515 13.336
angles: 90.00 90.00 90.00
Space group P4/mmm (No. 123)
One atom of each set of equivalent atoms:
Cd (0.000, 0.000, 0.000)
Cd (0.000, 0.000, 0.337)
Cd (0.000, 0.500, 0.175)
Cd (0.000, 0.500, 0.500)
Ga (0.500, 0.500, 0.339)
Sn (0.500, 0.500, 0.000)



BaSeS2Cl after structural relaxation, computed with PBE-GGA.

Summary:
Electronic total energy   -19.7 eV/cell
Total moment   0.000 μB per formula unit
Distance to the lowest polymorph of the same formula   0 meV per atom

abc: 5.014 5.014 5.085
angles: 90.00 90.00 90.00
Space group P4/mmm (No. 123)
One atom of each set of equivalent atoms:
Ba (0.000, 0.000, 0.000)
Se (0.500, 0.500, 0.500)
S (0.000, 0.500, 0.500)
Cl (0.500, 0.500, 0.000)



SrRuN2 after structural relaxation, computed with PBE-GGA.

Summary:
Electronic total energy   -79.2 eV/cell
Total moment   0.352 μB per formula unit
Distance to the lowest polymorph of the same formula   524 meV per atom

abc: 3.7707 3.7707 18.9090
angles: 90.00 90.00 120.00
Space group R-3m (No. 166, hexagonal axes)
One atom of each set of equivalent atoms:
Sr (0.0000, 0.0000, 0.0000)
Ru (0.0000, 0.0000, 0.5000)
N (0.0000, 0.0000, 0.4057)



SbAsW after structural relaxation, computed with PBE-GGA.

Summary:
Electronic total energy   -79.7 eV/cell
Total moment   1.377 μB per formula unit
Distance to the lowest polymorph of the same formula   397 meV per atom

abc: 6.441 6.441 6.441
angles: 90.00 90.00 90.00
Space group F-43m (No. 216)
One atom of each set of equivalent atoms:
Sb (0.000, 0.000, 0.000)
As (0.000, 0.000, 0.500)
W (0.250, 0.250, 0.250)



LiNd2OsO6 after structural relaxation, computed with PBE-GGA.

Summary:
Electronic total energy   -152.8 eV/cell
Total moment   3.001 μB per formula unit

abc: 5.475 5.850 9.488
angles: 90.00 124.64 90.00
Space group P2_1/c (No. 14)
One atom of each set of equivalent atoms:
Li (0.000, 0.000, 0.000)
Nd (0.231, 0.071, 0.749)
Os (0.500, 0.000, 0.500)
O (0.155, 0.185, 0.451)
O (0.266, 0.712, 0.445)
O (0.358, 0.033, 0.256)



Cs3SmY2S6 after structural relaxation, computed with PBE-GGA.

Summary:
Electronic total energy   -133.9 eV/cell
Total moment   0.000 μB per formula unit

abc: 7.171 12.420 8.420
angles: 90.00 106.49 90.00
Space group C2/m (No. 12)
One atom of each set of equivalent atoms:
Cs (0.000, 0.000, 0.000)
Cs (0.000, 0.334, 0.000)
Sm (0.000, 0.500, 0.500)
Y (0.000, 0.167, 0.500)
S (0.223, 0.000, 0.683)
S (0.230, 0.331, 0.683)



Ce7PuPb4 after structural relaxation, computed with PBE-GGA.

Summary:
Electronic total energy   -147.6 eV/cell
Total moment   1.640 μB per formula unit
Formation enthalpy at 0 K   -0.258 eV per atom

abc: 16.057 5.169 10.670
angles: 90.00 123.03 90.00
Space group C2/m (No. 12)
One atom of each set of equivalent atoms:
Ce (0.000, 0.000, 0.000)
Ce (0.077, 0.500, 0.271)
Ce (0.135, 0.000, 0.529)
Ce (0.167, 0.500, 0.043)
Pu (0.000, 0.500, 0.000)
Pb (0.084, 0.000, 0.781)
Pb (0.233, 0.000, 0.315)



IrPtCl2 after structural relaxation, computed with PBE-GGA.

Summary:
Electronic total energy   -14.0 eV/cell
Total moment   0.898 μB per formula unit
Distance to the lowest polymorph of the same formula   1123 meV per atom

abc: 2.988 3.647 6.043
angles: 90.00 90.00 90.00
Space group Pmmm (No. 47)
One atom of each set of equivalent atoms:
Ir (0.000, 0.000, 0.000)
Pt (0.000, 0.000, 0.500)
Cl (0.500, 0.500, 0.239)



NdHoNiIr after structural relaxation, computed with PBE-GGA.

Summary:
Electronic total energy   -52.7 eV/cell
Total moment   0.000 μB per formula unit
Formation enthalpy at 0 K   -0.587 eV per atom
Distance to the lowest polymorph of the same formula   0 meV per atom

abc: 4.097 3.925 10.819
angles: 90.00 90.00 90.00
Space group Amm2 (No. 38)
One atom of each set of equivalent atoms:
Nd (0.000, 0.000, 0.000)
Ho (0.500, 0.000, 0.717)
Ni (0.500, 0.000, 0.427)
Ir (0.000, 0.000, 0.277)



LaPmTlSi after structural relaxation, computed with PBE-GGA.

Summary:
Electronic total energy   -75.8 eV/cell
Total moment   0.000 μB per formula unit

abc: 7.598 7.598 7.598
angles: 90.00 90.00 90.00
Space group F-43m (No. 216)
One atom of each set of equivalent atoms:
La (0.000, 0.000, 0.000)
Pm (0.000, 0.000, 0.500)
Tl (0.250, 0.250, 0.750)
Si (0.250, 0.250, 0.250)



Sr2ScSb after structural relaxation, computed with PBE-GGA.

Summary:
Electronic total energy   -42.0 eV/cell
Total moment   1.679 μB per formula unit

abc: 3.9146 3.9146 33.1848
angles: 90.00 90.00 120.00
Space group R-3m (No. 166, hexagonal axes)
One atom of each set of equivalent atoms:
Sr (0.0000, 0.0000, 0.2411)
Sc (0.0000, 0.0000, 0.0000)
Sb (0.0000, 0.0000, 0.5000)



Sm11Y9Ho4 after structural relaxation, computed with PBE-GGA.

Summary:
Electronic total energy   -254.5 eV/cell
Total moment   0.000 μB per formula unit
Formation enthalpy at 0 K   0.047 eV per atom

abc: 16.923 25.631 3.660
angles: 90.00 90.00 90.00
Space group Cmmm (No. 65)
One atom of each set of equivalent atoms:
Sm (0.000, 0.000, 0.000)
Sm (0.000, 0.160, 0.000)
Sm (0.000, 0.369, 0.000)
Sm (0.207, 0.500, 0.000)
Sm (0.225, 0.181, 0.000)
Y (0.000, 0.500, 0.500)
Y (0.102, 0.267, 0.500)
Y (0.141, 0.073, 0.500)
Ho (0.156, 0.399, 0.500)